An optimized crystal structure of Tb4YSe5, computed with PBE.

Cell and atoms, written as CIF:
```
data_Tb4YSe5
_space_group_name_H-M_alt 'I 4/m'
_space_group_IT_number 87
_space_group_name_Hall '-I 4'
_cell_length_a 9.142
_cell_length_b 9.142
_cell_length_c 5.803
_cell_angle_alpha 90.00
_cell_angle_beta 90.00
_cell_angle_gamma 90.00
loop_
_atom_site_label
_atom_site_fract_x
_atom_site_fract_y
_atom_site_fract_z
Tb1 0.100 0.301 0.000
Y1 0.000 0.000 0.500
Se1 0.000 0.000 0.000
Se2 0.100 0.299 0.500
```

**Volume**: 24.25 Å³ per atom
**Total magnetic moment**: 0.00 μB per formula unit
**Energy relative to the elements, uncorrected**: -1.771 eV/atom
**Raw total energy**: -6.011 eV per atom
**Calculated density**: 7.67 Mg/m³

---

An optimized crystal structure of Tb2Y3Se6, computed with PBE.

Cell and atoms, written as CIF:
```
data_Tb2Y3Se6
_space_group_name_H-M_alt 'R -3 m'
_space_group_IT_number 166
_space_group_name_Hall '-R 3 2"'
_cell_length_a 4.1260
_cell_length_b 4.1260
_cell_length_c 60.3648
_cell_angle_alpha 90.00
_cell_angle_beta 90.00
_cell_angle_gamma 120.00
loop_
_atom_site_label
_atom_site_fract_x
_atom_site_fract_y
_atom_site_fract_z
Tb1 0.0000 0.0000 0.0533
Y1 0.0000 0.0000 0.2204
Y2 0.0000 0.0000 0.5000
Se1 0.0000 0.0000 0.1395
Se2 0.0000 0.0000 0.3034
Se3 0.0000 0.0000 0.4177
```

**Volume**: 26.97 Å³ per atom
**Total magnetic moment**: 0.00 μB per formula unit
**Energy relative to the elements, uncorrected**: -1.786 eV/atom
**Raw total energy**: -6.291 eV per atom
**Calculated density**: 5.92 Mg/m³
**Offset from the most stable computed form**: 91.4 meV per atom

---

An optimized crystal structure of Tb2YSe3, computed with PBE.

Cell and atoms, written as CIF:
```
data_Tb2YSe3
_space_group_name_H-M_alt 'I m m m'
_space_group_IT_number 71
_space_group_name_Hall '-I 2 2'
_cell_length_a 4.109
_cell_length_b 5.771
_cell_length_c 12.260
_cell_angle_alpha 90.00
_cell_angle_beta 90.00
_cell_angle_gamma 90.00
loop_
_atom_site_label
_atom_site_fract_x
_atom_site_fract_y
_atom_site_fract_z
Tb1 0.000 0.000 0.167
Y1 0.000 0.000 0.500
Se1 0.000 0.500 0.166
Se2 0.000 0.500 0.500
```

**Volume**: 24.23 Å³ per atom
**Total magnetic moment**: 0.00 μB per formula unit
**Energy relative to the elements, uncorrected**: -1.769 eV/atom
**Raw total energy**: -6.132 eV per atom
**Calculated density**: 7.35 Mg/m³

---

An optimized crystal structure of Tb3Y2Se6, computed with PBE.

Cell and atoms, written as CIF:
```
data_Tb3Y2Se6
_space_group_name_H-M_alt 'C 1 2/m 1'
_space_group_IT_number 12
_space_group_name_Hall '-C 2y'
_cell_length_a 7.073
_cell_length_b 12.198
_cell_length_c 7.042
_cell_angle_alpha 90.00
_cell_angle_beta 109.51
_cell_angle_gamma 90.00
loop_
_atom_site_label
_atom_site_fract_x
_atom_site_fract_y
_atom_site_fract_z
Tb1 0.000 0.000 0.000
Tb2 0.000 0.335 0.000
Y1 0.000 0.165 0.500
Se1 0.246 0.500 0.257
Se2 0.247 0.335 0.747
```

**Volume**: 26.03 Å³ per atom
**Total magnetic moment**: 0.00 μB per formula unit
**Energy relative to the elements, uncorrected**: -1.875 eV/atom
**Raw total energy**: -6.214 eV per atom
**Calculated density**: 6.54 Mg/m³
**Offset from the most stable computed form**: 0.0 meV per atom

---

An optimized crystal structure of Tb5Y3Se8, computed with PBE.

Cell and atoms, written as CIF:
```
data_Tb5Y3Se8
_space_group_name_H-M_alt 'R -3 m'
_space_group_IT_number 166
_space_group_name_Hall '-R 3 2"'
_cell_length_a 8.1884
_cell_length_b 8.1884
_cell_length_c 20.0418
_cell_angle_alpha 90.00
_cell_angle_beta 90.00
_cell_angle_gamma 120.00
loop_
_atom_site_label
_atom_site_fract_x
_atom_site_fract_y
_atom_site_fract_z
Tb1 0.0000 0.0000 0.0000
Tb2 0.0000 0.0000 0.5000
Tb3 0.0000 0.5000 0.0000
Y1 0.0000 0.5000 0.5000
Se1 0.0000 0.0000 0.2497
Se2 0.9996 0.4998 0.2498
```

**Volume**: 24.24 Å³ per atom
**Total magnetic moment**: 0.00 μB per formula unit
**Energy relative to the elements, uncorrected**: -1.765 eV/atom
**Raw total energy**: -6.166 eV per atom
**Calculated density**: 7.25 Mg/m³

---

An optimized crystal structure of TbY4Se7, computed with PBE.

Cell and atoms, written as CIF:
```
data_TbY4Se7
_space_group_name_H-M_alt 'C 1 m 1'
_space_group_IT_number 8
_space_group_name_Hall 'C -2y'
_cell_length_a 13.426
_cell_length_b 3.977
_cell_length_c 12.220
_cell_angle_alpha 90.00
_cell_angle_beta 104.38
_cell_angle_gamma 90.00
loop_
_atom_site_label
_atom_site_fract_x
_atom_site_fract_y
_atom_site_fract_z
Tb1 0.000 0.000 0.000
Y1 0.113 0.000 0.422
Y2 0.226 0.000 0.844
Y3 0.313 0.500 0.235
Y4 0.413 0.000 0.609
Se1 0.073 0.000 0.637
Se2 0.113 0.500 0.922
Se3 0.153 0.000 0.207
Se4 0.273 0.500 0.472
Se5 0.354 0.500 0.774
Se6 0.371 0.000 0.070
Se7 0.454 0.000 0.372
```

**Volume**: 26.34 Å³ per atom
**Total magnetic moment**: 0.00 μB per formula unit
**Energy relative to the elements, uncorrected**: -1.871 eV/atom
**Raw total energy**: -6.444 eV per atom
**Calculated density**: 5.61 Mg/m³

---

An optimized crystal structure of Tb4Y2Se9, computed with PBE.

Cell and atoms, written as CIF:
```
data_Tb4Y2Se9
_space_group_name_H-M_alt 'P -1'
_space_group_IT_number 2
_space_group_name_Hall '-P 1'
_cell_length_a 7.227
_cell_length_b 7.229
_cell_length_c 19.534
_cell_angle_alpha 89.99
_cell_angle_beta 89.97
_cell_angle_gamma 60.03
loop_
_atom_site_label
_atom_site_fract_x
_atom_site_fract_y
_atom_site_fract_z
Tb1 0.166 0.167 0.181
Tb2 0.166 0.167 0.985
Tb3 0.167 0.166 0.485
Tb4 0.168 0.166 0.682
Y1 0.499 0.501 0.152
Y2 0.500 0.499 0.348
Se1 0.138 0.530 0.417
Se2 0.140 0.831 0.917
Se3 0.167 0.471 0.083
Se4 0.168 0.862 0.583
Se5 0.196 0.500 0.750
Se6 0.196 0.805 0.250
Se7 0.470 0.169 0.583
Se8 0.471 0.862 0.083
Se9 0.499 0.196 0.250
```

**Volume**: 29.47 Å³ per atom
**Total magnetic moment**: 0.00 μB per formula unit
**Energy relative to the elements, uncorrected**: -1.869 eV/atom
**Raw total energy**: -6.056 eV per atom
**Calculated density**: 5.73 Mg/m³

---

An optimized crystal structure of Tb4YSe4, computed with PBE.

Cell and atoms, written as CIF:
```
data_Tb4YSe4
_space_group_name_H-M_alt 'C 1 2/m 1'
_space_group_IT_number 12
_space_group_name_Hall '-C 2y'
_cell_length_a 13.417
_cell_length_b 4.035
_cell_length_c 9.887
_cell_angle_alpha 90.00
_cell_angle_beta 119.83
_cell_angle_gamma 90.00
loop_
_atom_site_label
_atom_site_fract_x
_atom_site_fract_y
_atom_site_fract_z
Tb1 0.093 0.000 0.403
Tb2 0.194 0.500 0.782
Y1 0.000 0.500 0.000
Se1 0.107 0.000 0.908
Se2 0.195 0.500 0.305
```

**Volume**: 25.80 Å³ per atom
**Total magnetic moment**: 0.00 μB per formula unit
**Energy relative to the elements, uncorrected**: -1.549 eV/atom
**Raw total energy**: -5.874 eV per atom
**Calculated density**: 7.44 Mg/m³